# 1
Density functional theory data (SCAN) for a PBEsol-optimized structure of Ba2Zr.

POSCAR file:
```
Ba2Zr
1.0
9.3628 0.0000 0.0000
0.0000 9.3628 0.0000
0.0000 0.0000 5.5614
Ba Zr
8 4
Direct
0.1587 0.3413 0.0000
0.1587 0.6587 0.5000
0.3413 0.1587 0.5000
0.3413 0.8413 0.0000
0.6587 0.1587 0.0000
0.6587 0.8413 0.5000
0.8413 0.3413 0.5000
0.8413 0.6587 0.0000
0.0000 0.0000 0.2500
0.0000 0.0000 0.7500
0.5000 0.5000 0.2500
0.5000 0.5000 0.7500
```

Output
D(E_F), states/eV/atom: 1.455
Crystal system: tetragonal

# 2
Density functional theory data (SCAN) for a PBEsol-optimized structure of BaZr.

POSCAR file:
```
BaZr
1.0
6.4028 0.0000 0.0000
0.0000 6.4028 0.0000
0.0000 0.0000 6.4028
Ba Zr
4 4
Direct
0.0000 0.0000 0.0000
0.0000 0.5000 0.5000
0.5000 0.0000 0.5000
0.5000 0.5000 0.0000
0.2500 0.2500 0.2500
0.2500 0.7500 0.7500
0.7500 0.2500 0.7500
0.7500 0.7500 0.2500
```

Output
D(E_F), states/eV/atom: 0.657
Crystal system: cubic

no.,E_form (eV per atom),energy above the lowest structure with this stoichiometry (meV per atom)
1,0.55,0
2,2.26,1840